Record 1
Density functional theory data (PBE-GGA) for a relaxed structure of RuS2Cl8.

Cell and atoms, written as CIF:
```
data_RuS2Cl8
_chemical_formula_sum 'Ru1 S2 Cl8'
_cell_length_a 6.8105
_cell_length_b 7.3305
_cell_length_c 7.4474
_cell_angle_alpha 104.38
_cell_angle_beta 107.86
_cell_angle_gamma 93.00
_symmetry_space_group_name_H-M 'P -1'
_symmetry_Int_Tables_number 2
loop_
_symmetry_equiv_pos_as_xyz
'x,y,z'
'-x,-y,-z'
loop_
_atom_site_label
_atom_site_type_symbol
_atom_site_fract_x
_atom_site_fract_y
_atom_site_fract_z
Ru1 Ru 0.0000 0.0000 0.0000
S1 S 0.4454 0.7928 0.7935
Cl1 Cl 0.1437 0.9386 0.7377
Cl2 Cl 0.2105 0.2983 0.1429
Cl3 Cl 0.2613 0.8709 0.1866
Cl4 Cl 0.3073 0.5236 0.7256
```

Summary:
As for the theoretical density: 2.195 g/cm3. The calculation puts the density of states at the Fermi level at 0.461 states/eV per atom. The value obtained for the raw total energy is -0.233 Ry/atom. As for the uncorrected formation energy: -0.23 eV per atom.

***

Record 2
Density functional theory data (PBE-GGA) for a relaxed structure of PmNb2Ir2.

Cell and atoms, written as CIF:
```
data_PmNb2Ir2
_chemical_formula_sum 'Pm2 Nb4 Ir4'
_cell_length_a 4.4756
_cell_length_b 4.4756
_cell_length_c 10.5224
_cell_angle_alpha 90.00
_cell_angle_beta 90.00
_cell_angle_gamma 90.00
_symmetry_space_group_name_H-M 'I 4/m m m'
_symmetry_Int_Tables_number 139
_symmetry_space_group_name_Hall '-I 4 2'
loop_
_atom_site_label
_atom_site_type_symbol
_atom_site_fract_x
_atom_site_fract_y
_atom_site_fract_z
Pm1 Pm 0.0000 0.0000 0.0000
Nb1 Nb 0.0000 0.5000 0.2500
Ir1 Ir 0.0000 0.0000 0.3744
```

Summary:
As for the theoretical density: 11.270 g/cm3. The calculation puts the density of states at the Fermi level at 0.443 states/eV per atom. Its formation energy is -12.6 kcal/mol of atoms. The value obtained for the raw total energy is -0.667 Ry/atom.

***

Record 3
Density functional theory data (PBE-GGA) for a relaxed structure of KTa2In.

Cell and atoms, written as CIF:
```
data_KTa2In
_chemical_formula_sum 'K2 Ta4 In2'
_cell_length_a 3.5454
_cell_length_b 4.8430
_cell_length_c 10.8914
_cell_angle_alpha 90.00
_cell_angle_beta 90.00
_cell_angle_gamma 90.00
_symmetry_space_group_name_H-M 'C m m 2'
_symmetry_Int_Tables_number 35
loop_
_symmetry_equiv_pos_as_xyz
'x,y,z'
'-x,-y,z'
'-x,y,z'
'x,-y,z'
'x+1/2,y+1/2,z'
'-x+1/2,-y+1/2,z'
'-x+1/2,y+1/2,z'
'x+1/2,-y+1/2,z'
loop_
_atom_site_label
_atom_site_type_symbol
_atom_site_fract_x
_atom_site_fract_y
_atom_site_fract_z
K1 K 0.0000 0.0000 0.0000
Ta1 Ta 0.0000 0.0000 0.5037
Ta2 Ta 0.0000 0.5000 0.6974
In1 In 0.0000 0.5000 0.2756
```

Summary:
As for the theoretical density: 9.160 g/cm3. The calculation puts the density of states at the Fermi level at 0.899 states/eV per atom. Its formation energy is 10.6 kcal/mol of atoms. The value obtained for the raw total energy is -0.472 Ry/atom.

***

Record 4
Density functional theory data (PBE-GGA) for a relaxed structure of VFeTc3.

Cell and atoms, written as CIF:
```
data_VFeTc3
_chemical_formula_sum 'V1 Fe1 Tc3'
_cell_length_a 4.3720
_cell_length_b 4.3720
_cell_length_c 4.3720
_cell_angle_alpha 90.00
_cell_angle_beta 90.00
_cell_angle_gamma 90.00
_symmetry_space_group_name_H-M 'P m -3 m'
_symmetry_Int_Tables_number 221
_symmetry_space_group_name_Hall '-P 4 2 3'
loop_
_atom_site_label
_atom_site_type_symbol
_atom_site_fract_x
_atom_site_fract_y
_atom_site_fract_z
V1 V 0.0000 0.0000 0.0000
Fe1 Fe 0.5000 0.5000 0.5000
Tc1 Tc 0.0000 0.5000 0.5000
```

Summary:
The calculation puts the distance to the lowest polymorph of the same formula at 0 meV/atom. As for the theoretical density: 7.964 g/cm3. The calculation puts the density of states at the Fermi level at 1.368 states/eV per atom. Its formation energy is 28.1 kcal/mol of atoms. The value obtained for the raw total energy is -0.626 Ry/atom.

***

Q: Which formula does entry 2 have?
A: PmNb2Ir2

***

Q: The highest theoretical density belongs to which entry?
A: PmNb2Ir2

***

Q: Among the records above, which one has the highest theoretical density?
A: PmNb2Ir2

***

Q: The highest density of states at the Fermi level belongs to which entry?
A: VFeTc3